# 1
DFT (PBE) results for a geometry-optimized RuSeO2F structure.

abc: 3.907 3.907 4.144
angles: 90.00 90.00 90.00
Atoms (fractional coordinates):
Ru: 0.000 0.000 0.000
O: 0.000 0.500 0.000
O: 0.500 0.000 0.000
Se: 0.500 0.500 0.500
F: 0.000 0.000 0.500

Calculated values
formation energy (no corrections) = -234 meV per atom
theoretical density = 6.064 g/cm3
final energy = -5.144 eV/atom
symmetry = P4/mmm, No. 123

# 2
DFT (PBE) results for a geometry-optimized Na2ScHgPd structure.

abc: 5.839 5.270 5.839
angles: 90.00 90.00 90.00
Atoms (fractional coordinates):
Sc: 0.000 0.000 0.000
Na: 0.000 0.000 0.500
Na: 0.500 0.000 0.000
Hg: 0.000 0.500 0.000
Pd: 0.500 0.500 0.500

Calculated values
DFT formation energy = 0.978 eV/atom
theoretical density = 3.678 g/cm3
final energy = -1.915 eV/atom
symmetry = P4/mmm, No. 123

# 3
DFT (PBE) results for a geometry-optimized Ca3Tb2Pt4 structure.

abc: 7.263 7.842 7.835
angles: 90.00 90.00 108.70
Atoms (fractional coordinates):
Ca: 0.000 0.500 0.500
Ca: 0.500 0.500 0.000
Ca: 0.745 0.252 0.822
Ca: 0.755 0.748 0.322
Ca: 0.255 0.748 0.178
Ca: 0.245 0.252 0.678
Tb: 0.563 0.183 0.313
Tb: 0.937 0.817 0.813
Tb: 0.437 0.817 0.687
Tb: 0.063 0.183 0.187
Pt: 0.839 0.070 0.526
Pt: 0.661 0.930 0.026
Pt: 0.161 0.930 0.474
Pt: 0.339 0.070 0.974
Pt: 0.871 0.458 0.137
Pt: 0.629 0.542 0.637
Pt: 0.129 0.542 0.863
Pt: 0.371 0.458 0.363

Calculated values
DFT formation energy = -1.004 eV/atom
theoretical density = 9.573 g/cm3
final energy = -5.385 eV/atom
symmetry = P2_1/c, No. 14